Mg6ZrCo | PBE | optimized geometry

abc: 4.805 6.350 6.350
angles: 57.49 90.00 90.00
Atoms (fractional coordinates):
Mg1 0.000 0.000 0.000
Mg2 0.000 0.483 0.998
Mg3 0.000 0.998 0.483
Mg4 0.500 0.343 0.831
Mg5 0.500 0.831 0.343
Mg6 0.500 0.840 0.840
Zr1 0.000 0.473 0.473
Co1 0.500 0.358 0.358

Calculated density ... 3.01 Mg/m³
Space group ... No. 38
Spin magnetization ... 0.6 μB per formula unit
Formation enthalpy at 0 K ... 81 kJ/mol of formula units
ΔE to the lowest computed polymorph ... 0 meV per atom